Record 1
The following is a DFT calculation (GGA-PBE) of a geometry-optimized Dy8Ga2Cu structure.

Output
- calculated volume (Å³/f.u.) = 292
- M_tot (μB per cell) = 0.00
- DFT formation energy (meV per atom) = -234
- space-group type = C2/m (12)

Cell lengths 4.966, 6.601, 9.450 Å; angles 101.82, 105.23, 90.00 degrees
Atoms (fractional coordinates):
Dy (0.408, 0.539, 0.816)
Dy (0.655, 0.975, 0.309)
Dy (0.793, 0.688, 0.585)
Dy (0.978, 0.224, 0.955)
Dy (0.207, 0.312, 0.415)
Dy (0.345, 0.025, 0.691)
Dy (0.592, 0.461, 0.184)
Dy (0.022, 0.776, 0.045)
Ga (0.812, 0.247, 0.623)
Ga (0.188, 0.753, 0.377)
Cu (0.500, 0.000, 0.000)

***

Record 2
The following is a DFT calculation (GGA-PBE) of a geometry-optimized Dy2Ga3Cu structure.

Output
- calculated volume (Å³/f.u.) = 120
- M_tot (μB per cell) = 0.00
- DFT formation energy (meV per atom) = -594
- space-group type = Pmm2 (25)

Cell lengths 3.614, 4.373, 7.565 Å; angles 90.00, 90.00, 90.00 degrees
Atoms (fractional coordinates):
Dy (0.000, 0.500, 0.004)
Dy (0.000, 0.000, 0.497)
Ga (0.500, 0.000, 0.836)
Ga (0.500, 0.000, 0.175)
Ga (0.500, 0.500, 0.657)
Cu (0.500, 0.500, 0.330)

***

Record 3
The following is a DFT calculation (GGA-PBE) of a geometry-optimized Dy2Ga2Cu15 structure.

Output
- calculated volume (Å³/f.u.) = 269
- M_tot (μB per cell) = 0.00
- DFT formation energy (meV per atom) = -160
- space-group type = R-3m (166)

Cell lengths 6.507, 6.507, 6.507 Å; angles 82.67, 82.67, 82.67 degrees
Atoms (fractional coordinates):
Dy (0.349, 0.349, 0.349)
Dy (0.651, 0.651, 0.651)
Ga (0.104, 0.104, 0.104)
Ga (0.896, 0.896, 0.896)
Cu (0.500, 0.000, 0.000)
Cu (0.000, 0.000, 0.500)
Cu (0.000, 0.500, 0.000)
Cu (0.000, 0.698, 0.302)
Cu (0.698, 0.302, 0.000)
Cu (0.302, 0.000, 0.698)
Cu (0.302, 0.698, 0.000)
Cu (0.698, 0.000, 0.302)
Cu (0.000, 0.302, 0.698)
Cu (0.155, 0.651, 0.651)
Cu (0.651, 0.651, 0.155)
Cu (0.651, 0.155, 0.651)
Cu (0.845, 0.349, 0.349)
Cu (0.349, 0.349, 0.845)
Cu (0.349, 0.845, 0.349)

***

Record 4
The following is a DFT calculation (GGA-PBE) of a geometry-optimized DyGa4Cu2 structure.

Output
- calculated volume (Å³/f.u.) = 118
- M_tot (μB per cell) = 0.00
- DFT formation energy (meV per atom) = -363
- space-group type = Pnma (62)

Cell lengths 4.254, 6.598, 16.799 Å; angles 90.00, 90.00, 90.00 degrees
Atoms (fractional coordinates):
Cu (0.250, 0.755, 0.536)
Cu (0.750, 0.245, 0.464)
Cu (0.750, 0.255, 0.964)
Cu (0.250, 0.745, 0.036)
Cu (0.250, 0.973, 0.782)
Cu (0.750, 0.027, 0.218)
Cu (0.750, 0.473, 0.718)
Cu (0.250, 0.527, 0.282)
Ga (0.250, 0.278, 0.690)
Ga (0.750, 0.722, 0.310)
Ga (0.750, 0.778, 0.810)
Ga (0.250, 0.222, 0.190)
Ga (0.250, 0.678, 0.684)
Ga (0.750, 0.322, 0.316)
Ga (0.750, 0.178, 0.816)
Ga (0.250, 0.822, 0.184)
Ga (0.250, 0.154, 0.533)
Ga (0.750, 0.846, 0.467)
Ga (0.750, 0.654, 0.967)
Ga (0.250, 0.346, 0.033)
Ga (0.250, 0.485, 0.431)
Ga (0.750, 0.515, 0.569)
Ga (0.750, 0.985, 0.069)
Ga (0.250, 0.015, 0.931)
Dy (0.750, 0.988, 0.640)
Dy (0.250, 0.012, 0.360)
Dy (0.250, 0.488, 0.860)
Dy (0.750, 0.512, 0.140)

***

Which of these has the lowest DFT formation energy? Dy2Ga3Cu